LiAg2SeO4 | PBE-GGA | optimized geometry

The structure belongs to space group C2/c (No. 15); the cell edges are 10.698, 7.599 and 6.938 Å and the angles 90.00°, 127.54° and 90.00°. The asymmetric unit holds Li at (0.000, 0.000, 0.000), Ag at (0.000, 0.500, 0.000), Ag at (0.250, 0.250, 0.000), Se at (0.250, 0.250, 0.500), O at (0.121, 0.263, 0.612) and O at (0.171, 0.025, 0.398).

The value obtained for the calculated total energy is -4.353 eV/atom.